This record from the Alexandria database describes an optimized crystal structure of LaPaPtO6. The functional is PBE.

Output
* ΔE_f (raw): -2539 meV per atom

Cell: 5.464 5.464 10.716 Å, 90.00 90.00 120.00°
Atoms (fractional coordinates):
1 La 0.000 0.000 0.000
2 La 0.000 0.000 0.500
3 Pa 0.333 0.667 0.250
4 Pa 0.667 0.333 0.750
5 Pt 0.667 0.333 0.250
6 Pt 0.333 0.667 0.750
7 O 0.657 0.637 0.140
8 O 0.980 0.343 0.140
9 O 0.343 0.980 0.640
10 O 0.020 0.657 0.860
11 O 0.363 0.343 0.360
12 O 0.980 0.637 0.360
13 O 0.637 0.980 0.860
14 O 0.657 0.020 0.360
15 O 0.020 0.363 0.640
16 O 0.363 0.020 0.140
17 O 0.637 0.657 0.640
18 O 0.343 0.363 0.860

This record from the Alexandria database describes an optimized crystal structure of Na2Pa2CrS6. The functional is PBE.

Output
* ΔE_f (raw): -1304 meV per atom

Cell: 6.768 6.768 7.086 Å, 98.53 98.53 120.27°
Each line ends with the local moment (μB).
Atoms (fractional coordinates):
1 Na 0.837 0.163 0.000  0.00
2 Na 0.163 0.837 0.000  0.00
3 Pa 0.339 0.661 0.500  0.88
4 Pa 0.661 0.339 0.500  0.88
5 Cr 0.000 0.000 0.500  3.70
6 S 0.757 0.757 0.717  -0.04
7 S 0.065 0.405 0.718  -0.03
8 S 0.243 0.243 0.283  -0.04
9 S 0.405 0.065 0.718  -0.03
10 S 0.935 0.595 0.282  -0.03
11 S 0.595 0.935 0.282  -0.03

This record from the Alexandria database describes an optimized crystal structure of MnBeCo. The functional is PBE.

Output
* E_form: -0.23 eV/f.u.
* E above lowest polymorph: 83 meV per atom

Cell: 3.618 6.074 2.766 Å, 90.00 90.00 107.35°
Each line ends with the local moment (μB).
Atoms (fractional coordinates):
1 Be 0.012 0.482 0.294  -0.02
2 Be 0.165 0.787 0.793  -0.02
3 Mn 0.844 0.145 0.793  0.18
4 Mn 0.334 0.124 0.293  0.19
5 Co 0.674 0.806 0.293  0.85
6 Co 0.503 0.463 0.793  0.85

This record from the Alexandria database describes an optimized crystal structure of NaTlPb2. The functional is PBE.

Output
* E_form: -0.36 eV/f.u.

Cell: 5.609 6.958 6.958 Å, 119.00 90.00 90.00°
Atoms (fractional coordinates):
1 Na 0.250 0.768 0.095
2 Na 0.750 0.095 0.768
3 Tl 0.250 0.773 0.600
4 Tl 0.750 0.600 0.773
5 Pb 0.250 0.273 0.593
6 Pb 0.750 0.593 0.273
7 Pb 0.250 0.277 0.107
8 Pb 0.750 0.107 0.277

This record from the Alexandria database describes an optimized crystal structure of SrAl2ZnRh. The functional is PBE.

Output
* E_form: -2.06 eV/f.u.

Cell: 4.743 4.743 4.932 Å, 90.00 90.00 90.00°
Atoms (fractional coordinates):
1 Sr 0.500 0.500 0.500
2 Zn 0.000 0.000 0.500
3 Rh 0.000 0.000 0.000
4 Al 0.000 0.500 0.000
5 Al 0.500 0.000 0.000

This record from the Alexandria database describes an optimized crystal structure of Nb2PbCI. The functional is PBE.

Output
* ΔE_f (raw): 2862 meV per atom

Cell: 5.072 5.072 6.076 Å, 90.00 90.00 90.00°
Each line ends with the local moment (μB).
Atoms (fractional coordinates):
1 Pb 0.000 0.000 0.500  -0.01
2 I 0.000 0.000 0.000  0.01
3 Nb 0.000 0.500 0.000  -0.55
4 Nb 0.500 0.000 0.000  -0.55
5 C 0.500 0.500 0.500  0.72

This record from the Alexandria database describes an optimized crystal structure of SrV2Pt2. The functional is PBE.

Output
* E_form: -1.64 eV/f.u.
* E above lowest polymorph: 0 meV per atom

Cell: 4.279 4.279 6.252 Å, 69.99 69.99 90.00°
Each line ends with the local moment (μB).
Atoms (fractional coordinates):
1 Sr 0.000 0.000 0.000  0.01
2 Pt 0.376 0.376 0.249  0.03
3 Pt 0.624 0.624 0.751  0.03
4 V 0.750 0.250 0.500  0.91
5 V 0.250 0.750 0.500  0.91

This record from the Alexandria database describes an optimized crystal structure of SmTl3Pt8. The functional is PBE.

Output
* E_form: -5.03 eV/f.u.

Cell: 5.479 5.479 9.438 Å, 73.13 73.13 60.00°
Atoms (fractional coordinates):
1 Sm 0.876 0.876 0.372
2 Tl 0.373 0.373 0.880
3 Tl 0.003 0.003 0.990
4 Tl 0.496 0.496 0.513
5 Pt 0.935 0.438 0.189
6 Pt 0.439 0.938 0.684
7 Pt 0.438 0.438 0.189
8 Pt 0.938 0.938 0.684
9 Pt 0.188 0.188 0.437
10 Pt 0.688 0.688 0.937
11 Pt 0.438 0.935 0.189
12 Pt 0.938 0.439 0.684